Entry 1:
Al2TcW | PBE | relaxed

Calculated values
As for the space group: No. 139. As for the crystal system: tetragonal. The value obtained for the energy of formation from the pure elements is -0.020 eV/atom.

a b c (Å): 4.897 4.897 4.897
angles (deg): 133.81 133.81 67.38
Positions (direct):
Al 0.500 0.500 0.000
Al 0.000 0.000 0.000
Tc 0.250 0.750 0.500
W 0.750 0.250 0.500



Entry 2:
BeFe3Sb | PBE | relaxed

Calculated values
As for the space group: No. 221. As for the uncorrected formation energy: 0.38 eV per atom. As for the crystal system: cubic.

a b c (Å): 4.049 4.049 4.049
angles (deg): 90.00 90.00 90.00
Positions (direct):
Be 0.000 0.000 0.000
Fe 0.000 0.000 0.500
Fe 0.500 0.000 0.000
Fe 0.000 0.500 0.000
Sb 0.500 0.500 0.500



Entry 3:
Mn2PtBr | PBE | relaxed

Calculated values
As for the space group: No. 160. As for the uncorrected formation energy: 0.25 eV per atom. As for the crystal system: trigonal.

a b c (Å): 9.199 9.199 9.199
angles (deg): 18.72 18.72 18.72
Positions (direct):
Br 0.271 0.271 0.271
Pt 0.483 0.483 0.483
Mn 0.743 0.743 0.743
Mn 0.003 0.003 0.003